Record 1
4
Lattice="0.000 3.306 3.306 3.306 0.000 3.306 3.306 3.306 0.000" Properties=species:S:1:pos:R:3 comment="YZnW2 PBE relaxed" volume_a3_per_atom=18.1 sg="No. 216" formation_enthalpy_0k_ev_per_atom=0.378 energy_ev_per_atom=-8.0344 pbc="T T T"
W 0.000 0.000 0.000
Y 1.653 1.653 1.653
Zn 3.306 3.306 3.306
W 4.958 4.958 4.958



Record 2
12
Lattice="2.598 -4.200 0.000 2.598 4.200 0.000 0.000 0.000 8.103" Properties=species:S:1:pos:R:3 comment="NiW PBE relaxed" volume_a3_per_atom=14.7 sg="No. 63" formation_enthalpy_0k_ev_per_atom=0.533 energy_ev_per_atom=-8.7314 pbc="T T T"
W 2.598 0.000 4.052
W 1.284 -0.890 2.026
W 3.912 -0.890 2.026
Ni 2.598 -3.018 3.496
W 2.598 0.000 0.000
Ni 2.598 3.018 7.548
W 1.284 0.890 6.077
Ni 2.598 1.335 2.026
Ni 2.598 -1.335 6.077
Ni 2.598 -3.018 0.556
W 3.912 0.890 6.077
Ni 2.598 3.018 4.607



Record 3
9
Lattice="7.376 0.000 0.000 -3.688 6.387 0.000 0.000 0.000 4.340" Properties=species:S:1:pos:R:3 comment="Ho3Mg3ZnGaAg PBE relaxed" volume_a3_per_atom=22.7 sg="No. 174" energy_ev_per_atom=-3.1930 pbc="T T T"
Mg -2.774 4.816 0.000
Ag 0.000 0.000 2.170
Mg 0.904 1.577 0.000
Mg 1.870 6.382 0.000
Ho 2.162 3.693 2.170
Ho 3.096 0.026 2.170
Ho 5.805 2.668 2.170
Zn 0.000 4.258 0.000
Ga 3.688 2.129 0.000



Record 4
3
Lattice="0.000 3.368 3.368 3.368 0.000 3.368 3.368 3.368 0.000" Properties=species:S:1:pos:R:3 comment="LaTaAl PBE relaxed" volume_a3_per_atom=25.5 sg="No. 216" energy_ev_per_atom=-6.2737 de_polymorph_mev_per_atom=0 pbc="T T T"
Ta 5.052 5.052 5.052
Al 0.000 0.000 0.000
La 1.684 1.684 1.684



Record 5
9
Lattice="2.554 0.000 0.000 -1.277 2.212 0.000 0.000 0.000 19.277" Properties=species:S:1:pos:R:3 comment="Zn2Cu7 PBE relaxed" volume_a3_per_atom=12.1 sg="No. 164" formation_enthalpy_0k_ev_per_atom=0.007 energy_ev_per_atom=-3.1647 pbc="T T T"
Cu 0.000 0.000 15.877
Zn 0.000 1.475 1.208
Cu 1.277 0.737 11.716
Zn 1.277 0.737 18.069
Cu 0.000 1.475 13.797
Cu 1.277 0.737 5.480
Cu 0.000 0.000 9.639
Cu 0.000 0.000 3.400
Cu 0.000 1.475 7.561



Record 6
16
Lattice="5.163 0.000 0.000 0.000 5.522 0.000 0.000 0.000 7.487" Properties=species:S:1:pos:R:3 comment="ZrOsNO PBE relaxed" volume_a3_per_atom=13.3 sg="No. 29" energy_ev_per_atom=-9.3887 de_polymorph_mev_per_atom=0 pbc="T T T"
Zr 2.369 5.136 2.424
N 0.744 1.799 1.131
O 3.189 3.495 3.457
N 0.744 4.561 6.356
O 3.189 0.733 4.030
Os 5.069 2.915 7.074
Os 2.488 2.608 0.413
Os 5.069 0.154 0.413
N 3.325 0.962 1.131
Os 2.488 5.369 7.074
O 0.607 2.028 4.030
Zr 2.369 2.375 5.063
Zr 4.951 0.387 5.063
O 0.607 4.789 3.457
Zr 4.951 3.148 2.424
N 3.325 3.723 6.356



Record 7
11
Lattice="3.437 5.972 3.980 -3.822 3.760 5.880 3.085 -6.683 -3.024" Properties=species:S:1:pos:R:3 comment="TbDy2Cu4Si2Ge2 PBE relaxed" volume_a3_per_atom=17.3 sg="No. 71" energy_ev_per_atom=-5.0786 de_polymorph_mev_per_atom=0 pbc="T T T"
Dy -0.511 2.135 5.072
Cu 1.899 2.962 3.522
Si -0.302 7.623 7.724
Tb 0.000 0.000 0.000
Ge 1.057 4.730 5.114
Cu 1.765 6.329 6.932
Dy 3.211 0.914 1.764
Ge 1.643 -1.681 1.723
Cu 0.801 0.087 3.314
Si -0.083 2.109 2.137
Cu 0.934 -3.279 -0.096



Record 8
5
Lattice="-1.919 1.919 6.696 1.919 -1.919 6.696 1.919 1.919 -6.696" Properties=species:S:1:pos:R:3 comment="Y2IrPd2 PBE relaxed" volume_a3_per_atom=19.7 sg="No. 139" formation_enthalpy_0k_ev_per_atom=-0.333 energy_ev_per_atom=-6.7606 pbc="T T T"
Ir 0.000 0.000 0.000
Pd 1.919 0.000 3.348
Y 0.000 0.000 5.304
Pd 0.000 1.919 3.348
Y 0.000 0.000 8.089



Record 9
28
Lattice="-3.379 5.273 -1.435 -4.430 -3.631 -2.910 -4.517 -0.764 7.829" Properties=species:S:1:pos:R:3 comment="ZnInSnO4 PBE relaxed" volume_a3_per_atom=13.4 sg="No. 91" energy_ev_per_atom=-5.3410 de_polymorph_mev_per_atom=15 pbc="T T T"
O -6.965 1.790 1.487
O -3.168 -0.541 -1.805
Sn -4.173 -0.714 0.150
O -9.290 1.312 5.203
O -6.046 -0.340 -0.969
O -10.062 1.920 2.321
Zn -5.913 -0.256 5.760
O -5.256 -2.260 -3.196
Zn -6.990 -1.873 2.353
Sn -5.034 1.365 2.484
Zn -7.543 0.943 -0.319
O -2.313 -1.050 1.247
In -5.936 3.404 4.790
O -3.141 0.911 3.475
O -11.395 -0.407 3.839
In -3.348 -1.275 3.199
In -3.341 -2.738 -2.195
O -4.456 -2.838 -0.277
O -8.470 -0.576 3.015
O -6.216 1.229 4.340
O -4.861 3.512 2.850
In -1.960 1.106 1.604
Sn -8.154 1.592 3.333
O -7.822 3.724 3.676
O -3.922 1.443 0.581
Sn -5.034 -0.104 -2.914
O -5.230 -0.804 2.083
Zn -4.207 2.942 -0.827



Record 10
4
Lattice="0.000 3.024 3.024 3.024 0.000 3.024 3.024 3.024 0.000" Properties=species:S:1:pos:R:3 comment="CdCuSiNi PBE relaxed" volume_a3_per_atom=13.8 sg="No. 216" energy_ev_per_atom=-3.8369 de_polymorph_mev_per_atom=0 pbc="T T T"
Cd 3.024 3.024 3.024
Si 0.000 0.000 0.000
Ni 1.512 1.512 1.512
Cu 4.535 4.535 4.535



Record 11
4
Lattice="0.000 3.833 3.833 3.833 0.000 3.833 3.833 3.833 0.000" Properties=species:S:1:pos:R:3 comment="CdInTe2 PBE relaxed" volume_a3_per_atom=28.2 sg="No. 216" energy_ev_per_atom=-2.3806 pbc="T T T"
Cd 3.833 3.833 3.833
Te 0.000 0.000 0.000
Te 1.917 1.917 1.917
In 5.750 5.750 5.750



Record 12
12
Lattice="-4.085 0.605 -0.191 1.655 -1.913 3.269 1.706 13.804 7.216" Properties=species:S:1:pos:R:3 comment="DyErZn2Si2 PBE relaxed" volume_a3_per_atom=19.3 sg="No. 194" energy_ev_per_atom=-4.3848 de_polymorph_mev_per_atom=0 pbc="T T T"
Zn -1.554 4.765 3.575
Zn -1.936 1.668 1.957
Er 1.280 10.353 5.412
Si 0.391 4.178 4.861
Si -1.115 8.318 5.433
Dy 0.853 6.902 3.608
Zn 0.830 7.731 6.718
Si -0.669 11.919 7.315
Er 0.427 3.451 1.804
Dy 0.000 0.000 0.000
Zn 1.213 10.827 8.337
Si -0.054 0.576 2.978